Crystalline MnGe3Pd at its relaxed geometry. Source: Alexandria via LeMat-Bulk, functional PBE.

Results
* symmetry: No. 221
* crystal system: cubic
* spin magnetization: 0.7 μB per formula unit
* formation energy: 235 meV/atom

Lattice parameters (Å, degrees): 4.5205 4.5205 4.5205 90.00 90.00 90.00
Fractional positions:
1 Mn 0.0000 0.0000 0.0000
2 Ge 0.0000 0.0000 0.5000
3 Ge 0.5000 0.0000 0.0000
4 Ge 0.0000 0.5000 0.0000
5 Pd 0.5000 0.5000 0.5000